[1]
This record from Alexandria describes a relaxed structure of K2TeRu. The functional is PBEsol.

Calculated values
ΔE_f (raw), eV per atom: 0.48
Space-group type: I4/mmm (139)
E, eV per atom: -3.512
D(E_F), states/eV per cell: 4.531

a = 4.2015 Å, b = 4.2015 Å, c = 6.1150 Å
α = 110.09°, β = 110.09°, γ = 90.00°
Positions (direct):
K 0.7500 0.2500 0.5000
K 0.2500 0.7500 0.5000
Ru 0.5000 0.5000 0.0000
Te 0.0000 0.0000 0.0000

***

[2]
This record from Alexandria describes a relaxed structure of Ag2Hg2Pb. The functional is PBEsol.

Calculated values
Space-group type: P4/mbm (127)
E, eV per atom: -2.299
D(E_F), states/eV per cell: 3.320

a = 3.0889 Å, b = 8.2927 Å, c = 8.2927 Å
α = 90.00°, β = 90.00°, γ = 90.00°
Positions (direct):
Pb 0.0000 0.0000 0.0000
Pb 0.0000 0.5000 0.5000
Hg 0.0000 0.3716 0.8716
Hg 0.0000 0.8716 0.6284
Hg 0.0000 0.6284 0.1284
Hg 0.0000 0.1284 0.3716
Ag 0.5000 0.1692 0.6692
Ag 0.5000 0.6692 0.8308
Ag 0.5000 0.8308 0.3308
Ag 0.5000 0.3308 0.1692

***

[3]
This record from Alexandria describes a relaxed structure of CaSb2. The functional is PBEsol.

Calculated values
ΔE_f (raw), eV per atom: -0.56
Space-group type: Cm (8)
E, eV per atom: -4.311
D(E_F), states/eV per cell: 2.544

a = 4.9849 Å, b = 6.0731 Å, c = 6.3032 Å
α = 108.38°, β = 90.00°, γ = 114.23°
Positions (direct):
Sb 0.6391 0.2781 0.2788
Sb 0.6393 0.2786 0.7782
Sb 0.9385 0.8770 0.4339
Sb 0.3382 0.6764 0.1201
Ca 0.0101 0.0202 0.9769
Ca 0.2682 0.5363 0.5788